1.
Entry from Alexandria: a relaxed structure of Rb2ScTiSe4 (GGA-PBE).

Lattice parameters (Å, degrees): 14.571 13.039 7.863 84.54 62.97 32.49
Element x y z (fractional)
Rb1 0.053 0.053 0.697
Rb2 0.303 0.303 0.947
Rb3 0.697 0.697 0.053
Rb4 0.947 0.947 0.303
Sc1 0.125 0.125 0.125
Sc2 0.875 0.875 0.875
Ti1 0.375 0.375 0.375
Ti2 0.625 0.625 0.625
Se1 0.014 0.342 0.437
Se2 0.293 0.563 0.658
Se3 0.342 0.014 0.707
Se4 0.437 0.707 0.014
Se5 0.563 0.293 0.986
Se6 0.658 0.986 0.293
Se7 0.707 0.437 0.342
Se8 0.986 0.658 0.563

- total magnetic moment (μB/cell) = 2.04
- ΔE_f (raw) (eV per atom) = -1.294

2.
Entry from Alexandria: a relaxed structure of Cr2Ru2Rh (GGA-PBE).

Lattice parameters (Å, degrees): 7.001 7.001 2.746 90.00 90.00 90.00
Element x y z (fractional)
Cr1 0.121 0.379 0.000
Cr2 0.379 0.879 0.000
Cr3 0.621 0.121 0.000
Cr4 0.879 0.621 0.000
Ru1 0.175 0.675 0.500
Ru2 0.325 0.175 0.500
Ru3 0.675 0.825 0.500
Ru4 0.825 0.325 0.500
Rh1 0.000 0.000 0.000
Rh2 0.500 0.500 0.000

- total magnetic moment (μB/cell) = 0.00
- relative energy among the computed polymorphs (eV per atom) = 0.000
- energy of formation (eV/atom) = 0.149

3.
Entry from Alexandria: a relaxed structure of Cs3HfTe4 (GGA-PBE).

Lattice parameters (Å, degrees): 9.491 9.491 6.819 110.99 110.99 49.29
Element x y z (fractional)
Cs1 0.000 0.000 0.000
Cs2 0.432 0.138 0.284
Cs3 0.862 0.568 0.716
Hf1 0.302 0.698 0.500
Te1 0.266 0.026 0.646
Te2 0.556 0.444 0.232
Te3 0.556 0.444 0.768
Te4 0.974 0.734 0.354

- total magnetic moment (μB/cell) = 0.00
- ΔE_f (raw) (eV per atom) = -0.918